Arrangement i

RbBa3Y | PBE-GGA | relaxed

Structure (CIF):
```
data_RbBa3Y
_space_group_name_H-M_alt 'P m -3 m'
_space_group_IT_number 221
_space_group_name_Hall '-P 4 2 3'
_cell_length_a 6.552
_cell_length_b 6.552
_cell_length_c 6.552
_cell_angle_alpha 90.00
_cell_angle_beta 90.00
_cell_angle_gamma 90.00
loop_
_atom_site_label
_atom_site_type_symbol
_atom_site_fract_x
_atom_site_fract_y
_atom_site_fract_z
_atom_site_occupancy
Rb1 Rb 0.000 0.000 0.000 1
Ba1 Ba 0.000 0.000 0.500 1
Y1 Y 0.500 0.500 0.500 1
```

Calculated values
- Magnetic moment: 0.00 μB/cell
- ρ: 3.46 g/cm³
- Crystal system: cubic

Arrangement ii

RbBa3Y | PBE-GGA | relaxed

Structure (CIF):
```
data_RbBa3Y
_space_group_name_H-M_alt 'P m -3 m'
_space_group_IT_number 221
_space_group_name_Hall '-P 4 2 3'
_cell_length_a 7.098
_cell_length_b 7.098
_cell_length_c 7.098
_cell_angle_alpha 90.00
_cell_angle_beta 90.00
_cell_angle_gamma 90.00
loop_
_atom_site_label
_atom_site_type_symbol
_atom_site_fract_x
_atom_site_fract_y
_atom_site_fract_z
_atom_site_occupancy
Rb1 Rb 0.000 0.000 0.000 1
Ba1 Ba 0.000 0.500 0.500 1
Y1 Y 0.500 0.500 0.500 1
```

Calculated values
- Magnetic moment: 3.68 μB/cell
- ρ: 2.72 g/cm³
- Crystal system: cubic

Which structure is most stable? arrangement ii, by 399 meV per atom over the runner-up.

Arrangement i

RbBa3Zn | PBE-GGA | relaxed

Structure (CIF):
```
data_RbBa3Zn
_space_group_name_H-M_alt 'P m -3 m'
_space_group_IT_number 221
_space_group_name_Hall '-P 4 2 3'
_cell_length_a 6.738
_cell_length_b 6.738
_cell_length_c 6.738
_cell_angle_alpha 90.00
_cell_angle_beta 90.00
_cell_angle_gamma 90.00
loop_
_atom_site_label
_atom_site_type_symbol
_atom_site_fract_x
_atom_site_fract_y
_atom_site_fract_z
_atom_site_occupancy
Rb1 Rb 0.000 0.000 0.000 1
Ba1 Ba 0.000 0.500 0.500 1
Zn1 Zn 0.500 0.500 0.500 1
```

Calculated values
- Magnetic moment: 0.00 μB/cell
- ρ: 3.05 g/cm³
- Crystal system: cubic

Arrangement ii

RbBa3Zn | PBE-GGA | relaxed

Structure (CIF):
```
data_RbBa3Zn
_space_group_name_H-M_alt 'P m -3 m'
_space_group_IT_number 221
_space_group_name_Hall '-P 4 2 3'
_cell_length_a 7.087
_cell_length_b 7.087
_cell_length_c 7.087
_cell_angle_alpha 90.00
_cell_angle_beta 90.00
_cell_angle_gamma 90.00
loop_
_atom_site_label
_atom_site_type_symbol
_atom_site_fract_x
_atom_site_fract_y
_atom_site_fract_z
_atom_site_occupancy
Rb1 Rb 0.000 0.000 0.000 1
Ba1 Ba 0.000 0.000 0.500 1
Zn1 Zn 0.500 0.500 0.500 1
```

Calculated values
- Magnetic moment: 3.16 μB/cell
- ρ: 2.63 g/cm³
- Crystal system: cubic

Which structure is most stable? arrangement i, by 818 meV per atom over the runner-up.

Arrangement i

RbBa2Zn2 | PBE-GGA | relaxed

Structure (CIF):
```
data_RbBa2Zn2
_space_group_name_H-M_alt 'P 4/m b m'
_space_group_IT_number 127
_space_group_name_Hall '-P 4 2ab'
_cell_length_a 9.677
_cell_length_b 9.677
_cell_length_c 4.495
_cell_angle_alpha 90.00
_cell_angle_beta 90.00
_cell_angle_gamma 90.00
loop_
_atom_site_label
_atom_site_type_symbol
_atom_site_fract_x
_atom_site_fract_y
_atom_site_fract_z
_atom_site_occupancy
Rb1 Rb 0.000 0.000 0.000 1
Ba1 Ba 0.149 0.351 0.500 1
Zn1 Zn 0.131 0.631 0.000 1
```

Calculated values
- Magnetic moment: 0.00 μB/cell
- ρ: 3.87 g/cm³
- Crystal system: tetragonal

Arrangement ii

RbBa2Zn2 | PBE-GGA | relaxed

Structure (CIF):
```
data_RbBa2Zn2
_space_group_name_H-M_alt 'I 4/m m m'
_space_group_IT_number 139
_space_group_name_Hall '-I 4 2'
_cell_length_a 4.314
_cell_length_b 4.314
_cell_length_c 26.115
_cell_angle_alpha 90.00
_cell_angle_beta 90.00
_cell_angle_gamma 90.00
loop_
_atom_site_label
_atom_site_type_symbol
_atom_site_fract_x
_atom_site_fract_y
_atom_site_fract_z
_atom_site_occupancy
Rb1 Rb 0.000 0.000 0.000 1
Ba1 Ba 0.000 0.000 0.349 1
Zn1 Zn 0.000 0.500 0.250 1
```

Calculated values
- Magnetic moment: 0.00 μB/cell
- ρ: 3.35 g/cm³
- Crystal system: tetragonal

Which structure is most stable? arrangement i, by 77 meV per atom over the runner-up.

Arrangement i

RbBaZn2 | PBE-GGA | relaxed

Structure (CIF):
```
data_RbBaZn2
_space_group_name_H-M_alt 'I -4 2 d'
_space_group_IT_number 122
_space_group_name_Hall 'I -4 2bw'
_cell_length_a 9.265
_cell_length_b 9.265
_cell_length_c 7.960
_cell_angle_alpha 90.00
_cell_angle_beta 90.00
_cell_angle_gamma 90.00
loop_
_atom_site_label
_atom_site_type_symbol
_atom_site_fract_x
_atom_site_fract_y
_atom_site_fract_z
_atom_site_occupancy
Rb1 Rb 0.000 0.000 0.000 1
Ba1 Ba 0.000 0.000 0.500 1
Zn1 Zn 0.240 0.250 0.625 1
```

Calculated values
- Magnetic moment: 0.00 μB/cell
- ρ: 3.44 g/cm³
- Crystal system: tetragonal

Arrangement ii

RbBaZn2 | PBE-GGA | relaxed

Structure (CIF):
```
data_RbBaZn2
_space_group_name_H-M_alt 'F m -3 m'
_space_group_IT_number 225
_space_group_name_Hall '-F 4 2 3'
_cell_length_a 8.361
_cell_length_b 8.361
_cell_length_c 8.361
_cell_angle_alpha 90.00
_cell_angle_beta 90.00
_cell_angle_gamma 90.00
loop_
_atom_site_label
_atom_site_type_symbol
_atom_site_fract_x
_atom_site_fract_y
_atom_site_fract_z
_atom_site_occupancy
Rb1 Rb 0.000 0.000 0.000 1
Ba1 Ba 0.000 0.000 0.500 1
Zn1 Zn 0.250 0.250 0.250 1
```

Calculated values
- Magnetic moment: 0.00 μB/cell
- ρ: 4.02 g/cm³
- Crystal system: cubic

Which structure is most stable? arrangement ii, by 162 meV per atom over the runner-up.

Arrangement i

RbBaZn | PBE-GGA | relaxed

Structure (CIF):
```
data_RbBaZn
_space_group_name_H-M_alt 'I 4 m m'
_space_group_IT_number 107
_space_group_name_Hall 'I 4 -2'
_cell_length_a 4.285
_cell_length_b 4.285
_cell_length_c 16.200
_cell_angle_alpha 90.00
_cell_angle_beta 90.00
_cell_angle_gamma 90.00
loop_
_atom_site_label
_atom_site_type_symbol
_atom_site_fract_x
_atom_site_fract_y
_atom_site_fract_z
_atom_site_occupancy
Rb1 Rb 0.000 0.000 0.000 1
Ba1 Ba 0.000 0.000 0.255 1
Zn1 Zn 0.000 0.000 0.654 1
```

Calculated values
- Magnetic moment: 0.00 μB/cell
- ρ: 3.22 g/cm³
- Crystal system: tetragonal

Arrangement ii

RbBaZn | PBE-GGA | relaxed

Structure (CIF):
```
data_RbBaZn
_space_group_name_H-M_alt 'C m c m'
_space_group_IT_number 63
_space_group_name_Hall '-C 2c 2'
_cell_length_a 4.597
_cell_length_b 30.215
_cell_length_c 4.624
_cell_angle_alpha 90.00
_cell_angle_beta 90.00
_cell_angle_gamma 90.00
loop_
_atom_site_label
_atom_site_type_symbol
_atom_site_fract_x
_atom_site_fract_y
_atom_site_fract_z
_atom_site_occupancy
Rb1 Rb 0.000 0.185 0.250 1
Ba1 Ba 0.000 0.434 0.250 1
Zn1 Zn 0.000 0.022 0.250 1
```

Calculated values
- Magnetic moment: 0.00 μB/cell
- ρ: 2.98 g/cm³
- Crystal system: orthorhombic

Which structure is most stable? arrangement ii, by 120 meV per atom over the runner-up.

Arrangement i

RbBaZn3 | PBE-GGA | relaxed

Structure (CIF):
```
data_RbBaZn3
_space_group_name_H-M_alt 'P m -3 m'
_space_group_IT_number 221
_space_group_name_Hall '-P 4 2 3'
_cell_length_a 6.324
_cell_length_b 6.324
_cell_length_c 6.324
_cell_angle_alpha 90.00
_cell_angle_beta 90.00
_cell_angle_gamma 90.00
loop_
_atom_site_label
_atom_site_type_symbol
_atom_site_fract_x
_atom_site_fract_y
_atom_site_fract_z
_atom_site_occupancy
Rb1 Rb 0.000 0.000 0.000 1
Ba1 Ba 0.500 0.500 0.500 1
Zn1 Zn 0.000 0.500 0.500 1
```

Calculated values
- Magnetic moment: 0.00 μB/cell
- ρ: 2.75 g/cm³
- Crystal system: cubic

Arrangement ii

RbBaZn3 | PBE-GGA | relaxed

Structure (CIF):
```
data_RbBaZn3
_space_group_name_H-M_alt 'P m -3 m'
_space_group_IT_number 221
_space_group_name_Hall '-P 4 2 3'
_cell_length_a 5.961
_cell_length_b 5.961
_cell_length_c 5.961
_cell_angle_alpha 90.00
_cell_angle_beta 90.00
_cell_angle_gamma 90.00
loop_
_atom_site_label
_atom_site_type_symbol
_atom_site_fract_x
_atom_site_fract_y
_atom_site_fract_z
_atom_site_occupancy
Rb1 Rb 0.000 0.000 0.000 1
Ba1 Ba 0.500 0.500 0.500 1
Zn1 Zn 0.000 0.000 0.500 1
```

Calculated values
- Magnetic moment: 0.00 μB/cell
- ρ: 3.29 g/cm³
- Crystal system: cubic

Which structure is most stable? arrangement i, by 88 meV per atom over the runner-up.